(1)
# Ac7TlSn3

Ac7TlSn3 after structural relaxation (PBE, Alexandria).

Calculated values
Formation enthalpy at 0 K = -0.3485 eV per atom
E = -4.27 eV/atom
Size of the total moment = 0.000 μB/atom

```
Ac7TlSn3
1.0
-6.311 0.301 1.051
2.312 -7.785 -3.316
4.404 -1.476 7.441
Ac Tl Sn
7 1 3
Direct
0.170 0.170 0.170
0.331 0.061 0.602
0.669 0.398 0.939
0.331 0.602 0.061
0.000 0.500 0.500
0.669 0.939 0.398
0.830 0.830 0.830
0.500 0.500 0.500
0.000 0.766 0.234
0.500 0.000 0.000
0.000 0.234 0.766
```

(2)
# Li2PaPt4

Li2PaPt4 after structural relaxation (PBE, Alexandria).

Calculated values
Formation enthalpy at 0 K = -0.5774 eV per atom
E = -5.93 eV/atom
Size of the total moment = 0.000 μB/atom

```
Li2PaPt4
1.0
-1.991 -3.253 3.987
-1.272 -2.632 -4.679
5.280 0.797 1.390
Li Pa Pt
2 1 4
Direct
0.500 0.500 0.000
0.500 0.000 0.500
0.000 0.000 0.000
0.500 0.000 0.000
0.500 0.500 0.500
0.000 0.000 0.500
0.000 0.500 0.000
```

(3)
# Nd2GdPa

Nd2GdPa after structural relaxation (PBE, Alexandria).

Calculated values
Formation enthalpy at 0 K = 0.1604 eV per atom
E = -8.12 eV/atom
Size of the total moment = 1.906 μB/atom

```
Nd2GdPa
1.0
3.453 0.000 0.000
0.000 3.453 0.000
0.000 0.000 10.540
Gd Pa Nd
1 1 2
Direct
0.500 0.500 0.000
0.500 0.500 0.500
0.000 0.000 0.730
0.000 0.000 0.270
```

(4)
# ScV2HgRh

ScV2HgRh after structural relaxation (PBE, Alexandria).

Calculated values
Formation enthalpy at 0 K = 0.5044 eV per atom
E = -5.94 eV/atom
Size of the total moment = 0.967 μB/atom

```
ScV2HgRh
1.0
-1.753 -4.369 0.325
4.473 -1.697 1.317
-1.049 0.758 4.538
Sc Rh Hg V
1 1 1 2
Direct
0.000 0.500 0.000
0.000 0.000 0.000
0.500 0.500 0.500
0.000 0.000 0.500
0.500 0.000 0.000
```

(5)
# Nd6ScTl

Nd6ScTl after structural relaxation (PBE, Alexandria).

Calculated values
Formation enthalpy at 0 K = -0.0773 eV per atom
E = -4.74 eV/atom
Size of the total moment = 0.000 μB/atom

```
Nd6ScTl
1.0
5.006 0.000 0.000
0.000 5.006 0.000
0.000 0.000 10.184
Nd Sc Tl
6 1 1
Direct
0.500 0.500 0.000
0.500 0.500 0.500
0.500 0.000 0.249
0.500 0.000 0.751
0.000 0.500 0.249
0.000 0.500 0.751
0.000 0.000 0.500
0.000 0.000 0.000
```

(6)
# AlTl2Cd

AlTl2Cd after structural relaxation (PBE, Alexandria).

Calculated values
Formation enthalpy at 0 K = 0.2024 eV per atom
E = -2.15 eV/atom
Size of the total moment = 0.000 μB/atom

```
AlTl2Cd
1.0
7.556 0.184 0.587
-3.326 4.580 -0.091
0.903 0.950 3.033
Tl Al Cd
2 1 1
Direct
0.000 0.000 0.000
0.500 0.000 0.500
0.000 0.500 0.500
0.500 0.500 0.000
```